Record 1
An optimized crystal structure of H3IBr, computed with PBE.

Cell and atoms, written as CIF:
```
data_H3IBr
_space_group_name_H-M_alt 'P m -3 m'
_space_group_IT_number 221
_space_group_name_Hall '-P 4 2 3'
_cell_length_a 4.0660
_cell_length_b 4.0660
_cell_length_c 4.0660
_cell_angle_alpha 90.00
_cell_angle_beta 90.00
_cell_angle_gamma 90.00
loop_
_atom_site_label
_atom_site_fract_x
_atom_site_fract_y
_atom_site_fract_z
_atom_site_occupancy
H1 0.0000 0.0000 0.5000 1
I1 0.0000 0.0000 0.0000 1
Br1 0.5000 0.5000 0.5000 1
```

Values from the calculation:
Spin magnetization, μB per atom: 0.000
Polymorph energy (0 for the lowest one), eV per atom: 0.614
Uncorrected energy, eV per atom: -2.042

***

Record 2
An optimized crystal structure of K6H2I3Br, computed with PBE.

Cell and atoms, written as CIF:
```
data_K6H2I3Br
_space_group_name_H-M_alt 'C 1 2/m 1'
_space_group_IT_number 12
_space_group_name_Hall '-C 2y'
_cell_length_a 8.1277
_cell_length_b 14.0427
_cell_length_c 8.2506
_cell_angle_alpha 90.00
_cell_angle_beta 109.27
_cell_angle_gamma 90.00
loop_
_atom_site_label
_atom_site_fract_x
_atom_site_fract_y
_atom_site_fract_z
_atom_site_occupancy
K1 0.2183 0.0000 0.2111 1
K2 0.2471 0.3239 0.2163 1
H1 0.0000 0.1669 0.0000 1
I1 0.0000 0.0000 0.5000 1
I2 0.0000 0.3390 0.5000 1
Br1 0.0000 0.5000 0.0000 1
```

Values from the calculation:
Spin magnetization, μB per atom: 0.007
Uncorrected energy, eV per atom: -2.689

***

Record 3
An optimized crystal structure of KHIBr, computed with PBE.

Cell and atoms, written as CIF:
```
data_KHIBr
_space_group_name_H-M_alt 'P 1 m 1'
_space_group_IT_number 6
_space_group_name_Hall 'P -2y'
_cell_length_a 4.9715
_cell_length_b 4.7341
_cell_length_c 6.8625
_cell_angle_alpha 90.00
_cell_angle_beta 102.34
_cell_angle_gamma 90.00
loop_
_atom_site_label
_atom_site_fract_x
_atom_site_fract_y
_atom_site_fract_z
_atom_site_occupancy
K1 0.0000 0.0000 0.0000 1
H1 0.1786 0.5000 0.5533 1
I1 0.4512 0.5000 0.8530 1
Br1 0.9557 0.5000 0.3592 1
```

Values from the calculation:
Spin magnetization, μB per atom: 0.000
Uncorrected energy, eV per atom: -2.775

***

Record 4
An optimized crystal structure of K4HIBr2, computed with PBE.

Cell and atoms, written as CIF:
```
data_K4HIBr2
_space_group_name_H-M_alt 'I m m a'
_space_group_IT_number 74
_space_group_name_Hall '-I 2b 2'
_cell_length_a 9.4371
_cell_length_b 9.4545
_cell_length_c 13.3155
_cell_angle_alpha 90.00
_cell_angle_beta 90.00
_cell_angle_gamma 90.00
loop_
_atom_site_label
_atom_site_fract_x
_atom_site_fract_y
_atom_site_fract_z
_atom_site_occupancy
K1 0.0000 0.0115 0.2367 1
K2 0.2383 0.2500 0.0053 1
H1 0.0000 0.0000 0.0000 1
I1 0.2500 0.2500 0.7500 1
Br1 0.0000 0.0000 0.5000 1
Br2 0.2500 0.2500 0.2500 1
```

Values from the calculation:
Spin magnetization, μB per atom: 0.005
Uncorrected energy, eV per atom: -2.830

***

Record 5
An optimized crystal structure of LaHIBr, computed with PBE.

Cell and atoms, written as CIF:
```
data_LaHIBr
_space_group_name_H-M_alt 'C 1 m 1'
_space_group_IT_number 8
_space_group_name_Hall 'C -2y'
_cell_length_a 7.2475
_cell_length_b 4.1841
_cell_length_c 8.2211
_cell_angle_alpha 90.00
_cell_angle_beta 107.16
_cell_angle_gamma 90.00
loop_
_atom_site_label
_atom_site_fract_x
_atom_site_fract_y
_atom_site_fract_z
_atom_site_occupancy
La1 0.0000 0.0000 0.0000 1
H1 0.1650 0.5000 0.9947 1
I1 0.2395 0.0000 0.7197 1
Br1 0.4149 0.0000 0.2436 1
```

Values from the calculation:
Spin magnetization, μB per atom: 0.000
Uncorrected energy, eV per atom: -4.337

***

Record 6
An optimized crystal structure of NaHIBr, computed with PBE.

Cell and atoms, written as CIF:
```
data_NaHIBr
_space_group_name_H-M_alt 'C 1 m 1'
_space_group_IT_number 8
_space_group_name_Hall 'C -2y'
_cell_length_a 8.0438
_cell_length_b 4.8365
_cell_length_c 7.3970
_cell_angle_alpha 90.00
_cell_angle_beta 114.54
_cell_angle_gamma 90.00
loop_
_atom_site_label
_atom_site_fract_x
_atom_site_fract_y
_atom_site_fract_z
_atom_site_occupancy
Na1 0.0000 0.0000 0.0000 1
H1 0.4871 0.0000 0.4597 1
I1 0.0665 0.5000 0.7516 1
Br1 0.4179 0.0000 0.2155 1
```

Values from the calculation:
Spin magnetization, μB per atom: 0.000
Uncorrected energy, eV per atom: -2.713

***

> The lowest uncorrected energy belongs to which entry?

LaHIBr

***

> What is the spin magnetization in the first record?

0.000 μB per atom